Below is crystalline Ca2VGaO6 at its relaxed geometry, with properties calculated at the PBE+U level.

**E**: -136.04 eV per cell
**Symmetry**: P2_1/c
**Spin magnetization**: 0.00 Bohr magnetons per cell

Structure (POSCAR):
```
Ca2VGaO6
1.0
5.3597 0.0000 0.0000
0.0000 5.4489 0.0000
-5.3541 0.0000 7.6137
Ca V Ga O
4 2 2 12
Cartesian
-0.0487 0.2380 1.9098
-2.7257 2.4864 5.7167
2.7313 2.9625 1.8971
0.0543 5.2109 5.7039
-2.6771 0.0000 3.8069
0.0000 2.7245 0.0000
2.6799 0.0000 0.0000
0.0028 2.7245 3.8069
-4.2704 1.1789 7.3051
-1.5933 1.5455 3.4982
-3.8310 3.8355 7.3203
-1.1539 4.3378 3.5134
-2.2705 0.0972 5.6638
0.4066 2.6273 1.8569
-0.4010 2.8216 5.7568
2.2761 5.3517 1.9499
1.1596 1.1111 4.1003
3.8366 1.6134 0.2935
1.5989 3.9034 4.1155
4.2760 4.2700 0.3086
```